Entry from Alexandria: a relaxed structure of SrTl2InI5 (GGA-PBE).

Summary:
* E_form (uncorrected): -0.94 eV/atom
* total magnetization: 0.00 μB per cell

Structure (POSCAR):
```
SrTl2InI5
1.0
2.407 -10.261 0.000
2.407 10.261 0.000
0.000 0.000 17.979
Sr Tl In I
2 4 2 10
Direct
0.241 0.759 0.500 Sr
0.759 0.241 0.000 Sr
0.352 0.648 0.720 Tl
0.445 0.555 0.127 Tl
0.555 0.445 0.627 Tl
0.648 0.352 0.220 Tl
0.062 0.938 0.905 In
0.938 0.062 0.405 In
0.031 0.969 0.238 I
0.083 0.917 0.492 I
0.237 0.763 0.877 I
0.268 0.732 0.129 I
0.401 0.599 0.530 I
0.599 0.401 0.030 I
0.732 0.268 0.629 I
0.763 0.237 0.377 I
0.917 0.083 0.992 I
0.969 0.031 0.738 I
```

Entry from Alexandria: a relaxed structure of SrTmInI6 (GGA-PBE).

Summary:
* E_form (uncorrected): -1.27 eV/atom
* total magnetization: 0.00 μB per cell

Structure (POSCAR):
```
SrTmInI6
1.0
8.137 0.000 0.000
-4.068 7.047 0.000
0.000 0.000 14.979
Sr Tm In I
2 2 2 12
Direct
0.333 0.667 0.250 Sr
0.667 0.333 0.750 Sr
0.333 0.667 0.750 Tm
0.667 0.333 0.250 Tm
0.000 0.000 0.000 In
0.000 0.000 0.500 In
0.027 0.373 0.632 I
0.027 0.654 0.868 I
0.346 0.373 0.868 I
0.346 0.973 0.632 I
0.373 0.027 0.132 I
0.373 0.346 0.368 I
0.627 0.654 0.632 I
0.627 0.973 0.868 I
0.654 0.027 0.368 I
0.654 0.627 0.132 I
0.973 0.346 0.132 I
0.973 0.627 0.368 I
```

Entry from Alexandria: a relaxed structure of Sr2VInI (GGA-PBE).

Summary:
* E_form (uncorrected): 0.09 eV/atom
* total magnetization: 4.16 μB per cell

Structure (POSCAR):
```
Sr2VInI
1.0
6.246 0.000 0.000
0.000 6.246 0.000
0.000 0.000 5.187
Sr V In I
2 1 1 1
Direct
0.000 0.500 0.000 Sr
0.500 0.000 0.000 Sr
0.000 0.000 0.000 V
0.000 0.000 0.500 In
0.500 0.500 0.500 I
```

Entry from Alexandria: a relaxed structure of SrVInI2 (GGA-PBE).

Summary:
* E_form (uncorrected): 0.28 eV/atom
* total magnetization: 4.18 μB per cell

Structure (POSCAR):
```
SrVInI2
1.0
6.265 0.000 0.000
0.000 6.265 0.000
0.000 0.000 6.442
Sr V In I
1 1 1 2
Direct
0.000 0.000 0.000 Sr
0.000 0.000 0.500 V
0.500 0.500 0.500 In
0.000 0.500 0.000 I
0.500 0.000 0.000 I
```

Entry from Alexandria: a relaxed structure of Ta3InI (GGA-PBE).

Summary:
* E_form (uncorrected): 1.95 eV/atom
* total magnetization: 0.00 μB per cell
* energy above the most stable polymorph in this dataset: 0 meV/atom

Structure (POSCAR):
```
Ta3InI
1.0
5.000 0.000 0.000
0.000 5.000 0.000
0.000 0.000 5.000
Ta In I
3 1 1
Direct
0.000 0.000 0.500 Ta
0.000 0.500 0.000 Ta
0.500 0.000 0.000 Ta
0.500 0.500 0.500 In
0.000 0.000 0.000 I
```

Entry from Alexandria: a relaxed structure of TaIn3I (GGA-PBE).

Summary:
* E_form (uncorrected): 1.60 eV/atom
* total magnetization: 3.61 μB per cell
* energy above the most stable polymorph in this dataset: 989 meV/atom

Structure (POSCAR):
```
TaIn3I
1.0
6.006 0.000 0.000
0.000 6.006 0.000
0.000 0.000 6.006
Ta In I
1 3 1
Direct
0.000 0.000 0.000 Ta
0.000 0.500 0.500 In
0.500 0.000 0.500 In
0.500 0.500 0.000 In
0.500 0.500 0.500 I
```

Entry from Alexandria: a relaxed structure of Ta2InI (GGA-PBE).

Summary:
* E_form (uncorrected): 0.77 eV/atom
* total magnetization: 0.00 μB per cell
* energy above the most stable polymorph in this dataset: 0 meV/atom

Structure (POSCAR):
```
Ta2InI
1.0
0.000 3.432 3.432
3.432 0.000 3.432
3.432 3.432 0.000
Ta In I
2 1 1
Direct
0.250 0.250 0.250 Ta
0.750 0.750 0.750 Ta
0.000 0.000 0.000 In
0.500 0.500 0.500 I
```

Entry from Alexandria: a relaxed structure of Ta2InI (GGA-PBE).

Summary:
* E_form (uncorrected): 0.94 eV/atom
* total magnetization: 0.00 μB per cell
* energy above the most stable polymorph in this dataset: 168 meV/atom

Structure (POSCAR):
```
Ta2InI
1.0
-2.123 2.123 10.193
2.123 -2.123 10.193
2.123 2.123 -10.193
Ta In I
4 2 2
Direct
0.112 0.625 0.987 Ta
0.375 0.362 0.487 Ta
0.638 0.125 0.013 Ta
0.875 0.888 0.513 Ta
0.000 0.000 0.000 In
0.750 0.250 0.500 In
0.250 0.750 0.500 I
0.500 0.500 0.000 I
```

Entry from Alexandria: a relaxed structure of TaInI4 (GGA-PBE).

Summary:
* E_form (uncorrected): -0.36 eV/atom
* total magnetization: 0.00 μB per cell

Structure (POSCAR):
```
TaInI4
1.0
6.684 0.000 0.000
-0.173 8.431 0.000
-3.185 -3.461 8.542
Ta In I
2 2 8
Direct
0.216 0.069 0.080 Ta
0.784 0.931 0.920 Ta
0.253 0.689 0.452 In
0.747 0.311 0.548 In
0.085 0.721 0.976 I
0.247 0.111 0.385 I
0.342 0.040 0.823 I
0.498 0.412 0.243 I
0.502 0.588 0.757 I
0.658 0.960 0.177 I
0.753 0.889 0.615 I
0.915 0.279 0.024 I
```

Entry from Alexandria: a relaxed structure of TaIn3I (GGA-PBE).

Summary:
* E_form (uncorrected): 0.61 eV/atom
* total magnetization: 3.68 μB per cell
* energy above the most stable polymorph in this dataset: 0 meV/atom

Structure (POSCAR):
```
TaIn3I
1.0
5.635 0.000 0.000
0.000 5.635 0.000
0.000 0.000 5.635
Ta In I
1 3 1
Direct
0.000 0.000 0.000 Ta
0.000 0.000 0.500 In
0.000 0.500 0.000 In
0.500 0.000 0.000 In
0.500 0.500 0.500 I
```

Entry from Alexandria: a relaxed structure of Tb4InI5 (GGA-PBE).

Summary:
* E_form (uncorrected): -0.99 eV/atom
* total magnetization: 0.00 μB per cell

Structure (POSCAR):
```
Tb4InI5
1.0
9.626 -2.157 0.000
9.626 2.157 0.000
-1.838 0.000 8.763
Tb In I
4 1 5
Direct
0.001 0.001 0.227 Tb
0.345 0.345 0.925 Tb
0.655 0.655 0.075 Tb
0.999 0.999 0.773 Tb
0.500 0.500 0.000 In
0.168 0.168 0.332 I
0.172 0.172 0.827 I
0.500 0.500 0.500 I
0.828 0.828 0.173 I
0.832 0.832 0.668 I
```

Entry from Alexandria: a relaxed structure of TbIn5I8 (GGA-PBE).

Summary:
* E_form (uncorrected): -0.71 eV/atom
* total magnetization: 0.00 μB per cell

Structure (POSCAR):
```
TbIn5I8
1.0
7.700 -5.243 0.000
7.700 5.243 0.000
-7.556 0.000 8.306
Tb In I
1 5 8
Direct
0.000 0.000 0.000 Tb
0.275 0.291 0.994 In
0.275 0.725 0.500 In
0.499 0.033 0.503 In
0.709 0.725 0.006 In
0.967 0.501 0.497 In
0.001 0.610 0.856 I
0.042 0.045 0.308 I
0.390 0.999 0.144 I
0.425 0.472 0.662 I
0.528 0.575 0.338 I
0.602 0.019 0.860 I
0.955 0.958 0.692 I
0.981 0.398 0.140 I
```